Computed, not measured: crystalline Mg2PAu at its relaxed geometry at the GGA-PBE level of DFT.

Summary:
The calculation puts the magnetic moment at 0.0 μB/f.u. As for the crystal system: tetragonal. As for the density of states at the Fermi level: 1.055 states/eV per cell. The value obtained for the energy is -3.323 eV per atom.

Cell lengths 3.7808, 3.7808, 5.3916 Å; angles 90.00, 90.00, 90.00 degrees
Atoms (fractional coordinates):
1 Mg 0.0000 0.0000 0.0000
2 Mg 0.5000 0.5000 0.3720
3 P 0.0000 0.0000 0.4929
4 Au 0.5000 0.5000 0.8712